DFT (PBE) results for a relaxed Be4Ir3 crystal.

a = 9.610 Å, b = 9.610 Å, c = 9.610 Å
α = 163.06°, β = 163.06°, γ = 24.04°
Element x y z (fractional)
Ir  0.302  0.302  0.000
Ir  0.698  0.698  0.000
Be  0.567  0.567  0.000
Be  0.131  0.131  0.000
Be  0.433  0.433  0.000
Be  0.869  0.869  0.000
Ir  0.000  0.000  0.000

Properties
As for the electronic total energy: -6.389 eV per atom. The calculation puts the formation energy at -0.462 eV per atom. The energy above the most stable polymorph in this dataset is 0.0 meV/atom.